Entry 1:
Computed, not measured: CeAl2Zn9 after structural relaxation at the GGA-PBE level of DFT.

The value obtained for the total DFT energy (no corrections) is -2.08 eV per atom. The value obtained for the formation energy is -0.006 eV/atom. For the density of states at the Fermi level, the calculation gives 7.62 states/eV per cell. The theoretical density comes out at 6.2 Mg/m³.

The structure belongs to space group P6/mmm (No. 191); the cell edges are 8.6565, 8.6565 and 3.2297 Å and the angles 90.00°, 90.00° and 120.00°. The inequivalent atoms are Ce at (0.0000, 0.0000, 0.0000), Al at (0.3333, 0.6667, 0.0000), Zn at (0.0000, 0.5000, 0.0000) and Zn at (0.1837, 0.3673, 0.5000).



Entry 2:
Computed, not measured: K2MoSe after structural relaxation at the GGA-PBE level of DFT.

The value obtained for the total DFT energy (no corrections) is -3.58 eV per atom. The formation energy without anion corrections is 549 meV/atom. For the density of states at the Fermi level, the calculation gives 1.80 states/eV per cell. The theoretical density comes out at 3.4 Mg/m³.

The structure belongs to space group Cmmm (No. 65); the cell edges are 5.9917, 8.6464 and 4.7199 Å and the angles 90.00°, 90.00° and 90.00°. The inequivalent atoms are K at (0.2500, 0.2500, 0.0000), Mo at (0.0000, 0.0000, 0.5000) and Se at (0.0000, 0.5000, 0.5000).



Which value of total DFT energy (no corrections) does entry 1 give?
-2.08 eV per atom